(1)
# GaFe2Ge PBE optimized geometry
# Total magnetization: 0.071 μB per atom
# Raw total energy: -97.80 eV/cell
data_GaFe2Ge
_chemical_formula_sum 'Ga4 Fe8 Ge4'
_cell_length_a 5.7663
_cell_length_b 5.7663
_cell_length_c 5.7663
_cell_angle_alpha 90.00
_cell_angle_beta 90.00
_cell_angle_gamma 90.00
_symmetry_space_group_name_H-M 'P m -3 m'
_symmetry_Int_Tables_number 221
_symmetry_space_group_name_Hall '-P 4 2 3'
loop_
_atom_site_label
_atom_site_fract_x
_atom_site_fract_y
_atom_site_fract_z
Ga1 0.0000 0.0000 0.0000
Ga2 0.0000 0.0000 0.5000
Fe1 0.2544 0.2544 0.2544
Ge1 0.0000 0.5000 0.5000
Ge2 0.5000 0.5000 0.5000

***

(2)
# RbIrAuS3 PBE optimized geometry
# Total magnetization: 0.032 μB per atom
# Raw total energy: -109.22 eV/cell
data_RbIrAuS3
_chemical_formula_sum 'Rb4 Ir4 Au4 S12'
_cell_length_a 3.6430
_cell_length_b 17.0289
_cell_length_c 9.4463
_cell_angle_alpha 90.00
_cell_angle_beta 90.00
_cell_angle_gamma 90.00
_symmetry_space_group_name_H-M 'C m c m'
_symmetry_Int_Tables_number 63
_symmetry_space_group_name_Hall '-C 2c 2'
loop_
_atom_site_label
_atom_site_fract_x
_atom_site_fract_y
_atom_site_fract_z
Rb1 0.0000 0.2140 0.2500
Ir1 0.0000 0.5000 0.0000
Au1 0.0000 0.1167 0.7500
S1 0.0000 0.0933 0.5109
S2 0.0000 0.4602 0.7500

***

(3)
# LuAgW PBE optimized geometry
# Total magnetization: 0.865 μB per atom
# ΔE_f: 1262 meV per atom
# Raw total energy: -66.08 eV/cell
# Offset from the most stable computed form: 0 meV per atom
data_LuAgW
_chemical_formula_sum 'Lu4 Ag4 W4'
_cell_length_a 6.5686
_cell_length_b 6.5686
_cell_length_c 6.5686
_cell_angle_alpha 90.00
_cell_angle_beta 90.00
_cell_angle_gamma 90.00
_symmetry_space_group_name_H-M 'F -4 3 m'
_symmetry_Int_Tables_number 216
_symmetry_space_group_name_Hall 'F -4 2 3'
loop_
_atom_site_label
_atom_site_fract_x
_atom_site_fract_y
_atom_site_fract_z
Lu1 0.0000 0.0000 0.0000
Ag1 0.0000 0.0000 0.5000
W1 0.2500 0.2500 0.7500

***

(4)
# LiAlNiPt PBE optimized geometry
# Total magnetization: 0.001 μB per atom
# Raw total energy: -40.28 eV/cell
data_LiAlNiPt
_chemical_formula_sum 'Li2 Al2 Ni2 Pt2'
_cell_length_a 3.9963
_cell_length_b 3.9963
_cell_length_c 6.3012
_cell_angle_alpha 90.00
_cell_angle_beta 90.00
_cell_angle_gamma 90.00
_symmetry_space_group_name_H-M 'I -4 m 2'
_symmetry_Int_Tables_number 119
_symmetry_space_group_name_Hall 'I -4 -2'
loop_
_atom_site_label
_atom_site_fract_x
_atom_site_fract_y
_atom_site_fract_z
Li1 0.0000 0.0000 0.0000
Al1 0.0000 0.0000 0.5000
Ni1 0.0000 0.5000 0.2500
Pt1 0.0000 0.5000 0.7500

***

(5)
# Sr2Hf2O5 PBE optimized geometry
# Total magnetization: 0.000 μB per atom
# Raw total energy: -75.24 eV/cell
# Offset from the most stable computed form: 0 meV per atom
data_Sr2Hf2O5
_chemical_formula_sum 'Sr2 Hf2 O5'
_cell_length_a 4.1183
_cell_length_b 4.1183
_cell_length_c 7.8950
_cell_angle_alpha 90.00
_cell_angle_beta 90.00
_cell_angle_gamma 90.00
_symmetry_space_group_name_H-M 'P 4/m m m'
_symmetry_Int_Tables_number 123
_symmetry_space_group_name_Hall '-P 4 2'
loop_
_atom_site_label
_atom_site_fract_x
_atom_site_fract_y
_atom_site_fract_z
Sr1 0.0000 0.0000 0.0000
Sr2 0.0000 0.0000 0.5000
Hf1 0.5000 0.5000 0.2384
O1 0.0000 0.5000 0.2410
O2 0.5000 0.5000 0.5000

***

(6)
# Ta4BeCo PBE optimized geometry
# Total magnetization: 0.001 μB per atom
# Raw total energy: -118.74 eV/cell
data_Ta4BeCo
_chemical_formula_sum 'Ta8 Be2 Co2'
_cell_length_a 6.1516
_cell_length_b 6.1516
_cell_length_c 4.8057
_cell_angle_alpha 90.00
_cell_angle_beta 90.00
_cell_angle_gamma 90.00
_symmetry_space_group_name_H-M 'I 4 2 2'
_symmetry_Int_Tables_number 97
_symmetry_space_group_name_Hall 'I 4 2'
loop_
_atom_site_label
_atom_site_fract_x
_atom_site_fract_y
_atom_site_fract_z
Ta1 0.1611 0.3389 0.2500
Be1 0.0000 0.0000 0.5000
Co1 0.0000 0.0000 0.0000

***

Copy entry 6 word for word.
# Ta4BeCo PBE optimized geometry
# Total magnetization: 0.001 μB per atom
# Raw total energy: -118.74 eV/cell
data_Ta4BeCo
_chemical_formula_sum 'Ta8 Be2 Co2'
_cell_length_a 6.1516
_cell_length_b 6.1516
_cell_length_c 4.8057
_cell_angle_alpha 90.00
_cell_angle_beta 90.00
_cell_angle_gamma 90.00
_symmetry_space_group_name_H-M 'I 4 2 2'
_symmetry_Int_Tables_number 97
_symmetry_space_group_name_Hall 'I 4 2'
loop_
_atom_site_label
_atom_site_fract_x
_atom_site_fract_y
_atom_site_fract_z
Ta1 0.1611 0.3389 0.2500
Be1 0.0000 0.0000 0.5000
Co1 0.0000 0.0000 0.0000